Model w:
The following is a DFT calculation (PBE) of a geometry-optimized K2ScFe structure.

Cell and atoms, written as POSCAR:
```
K2ScFe
1.0
3.9602 0.0000 0.0000
0.0000 4.7940 0.0000
0.0000 0.0000 6.3682
K Sc Fe
2 1 1
direct
0.0000 0.0000 0.0000 K
0.5000 0.5000 0.0000 K
0.0000 0.5000 0.5000 Sc
0.5000 0.0000 0.5000 Fe
```

Properties
V   30.2 Å³/atom
Space-group type   No. 47

Model x:
The following is a DFT calculation (PBE) of a geometry-optimized K2ScFe structure.

Cell and atoms, written as POSCAR:
```
K2ScFe
1.0
3.0037 -6.2650 0.0000
3.0037 6.2650 0.0000
0.0000 0.0000 3.3679
K Sc Fe
2 1 1
direct
0.0000 0.5000 0.0000 K
0.5000 0.0000 0.0000 K
0.0000 0.0000 0.5000 Sc
0.5000 0.5000 0.5000 Fe
```

Properties
V   31.7 Å³/atom
Space-group type   No. 65

Energy ordering: model w at the bottom, the next structure 87 meV/atom above.

Model w:
The following is a DFT calculation (PBE) of a geometry-optimized K2ScFe structure.

Cell and atoms, written as POSCAR:
```
K2ScFe
1.0
1.6848 0.9727 12.5204
-1.6848 0.9727 12.5204
0.0000 -1.9455 12.5204
K Sc Fe
2 1 1
direct
0.2412 0.2412 0.2412 K
0.7588 0.7588 0.7588 K
0.0000 0.0000 0.0000 Sc
0.5000 0.5000 0.5000 Fe
```

Properties
V   30.8 Å³/atom
Space-group type   No. 166

Model x:
The following is a DFT calculation (PBE) of a geometry-optimized K2ScFe structure.

Cell and atoms, written as POSCAR:
```
K2ScFe
1.0
4.4476 -1.6344 0.0000
4.4476 1.6344 0.0000
-2.2974 0.0000 10.2828
K Sc Fe
2 1 1
direct
0.0000 0.0000 0.0000 K
0.1533 0.1533 0.5965 K
0.3406 0.3406 0.2983 Sc
0.6151 0.6151 0.2983 Fe
```

Properties
V   37.4 Å³/atom
Space-group type   No. 8

Model y:
The following is a DFT calculation (PBE) of a geometry-optimized K2ScFe structure.

Cell and atoms, written as POSCAR:
```
K2ScFe
1.0
-2.1909 2.1909 6.3458
2.1909 -2.1909 6.3458
2.1909 2.1909 -6.3458
K Sc Fe
2 1 1
direct
0.2500 0.7500 0.5000 K
0.7500 0.2500 0.5000 K
0.0000 0.0000 0.0000 Sc
0.5000 0.5000 0.0000 Fe
```

Properties
V   30.5 Å³/atom
Space-group type   No. 139

Model z:
The following is a DFT calculation (PBE) of a geometry-optimized K2ScFe structure.

Cell and atoms, written as POSCAR:
```
K2ScFe
1.0
-2.7908 2.7908 3.9430
2.7908 -2.7908 3.9430
2.7908 2.7908 -3.9430
K Sc Fe
2 1 1
direct
0.0000 0.0000 0.0000 K
0.7500 0.2500 0.5000 K
0.2500 0.7500 0.5000 Sc
0.5000 0.5000 0.0000 Fe
```

Properties
V   30.7 Å³/atom
Space-group type   No. 119

Energy ordering: model x at the bottom, the next structure 377 meV/atom above.

Model w:
The following is a DFT calculation (PBE) of a geometry-optimized KScFe2 structure.

Cell and atoms, written as POSCAR:
```
KScFe2
1.0
0.0000 3.4623 3.4623
3.4623 0.0000 3.4623
3.4623 3.4623 0.0000
K Sc Fe
1 1 2
direct
0.0000 0.0000 0.0000 K
0.5000 0.5000 0.5000 Sc
0.2500 0.2500 0.2500 Fe
0.7500 0.7500 0.7500 Fe
```

Properties
V   20.8 Å³/atom
Space-group type   No. 225

Model x:
The following is a DFT calculation (PBE) of a geometry-optimized KScFe2 structure.

Cell and atoms, written as POSCAR:
```
KScFe2
1.0
3.0860 0.0000 0.0000
0.0000 3.9409 0.0000
-0.0269 0.0000 7.5845
K Sc Fe
1 1 2
direct
0.0000 0.0000 0.0000 K
0.0000 0.0000 0.5000 Sc
0.4986 0.5000 0.3503 Fe
0.5014 0.5000 0.6497 Fe
```

Properties
V   23.1 Å³/atom
Space-group type   No. 10

Model y:
The following is a DFT calculation (PBE) of a geometry-optimized KScFe2 structure.

Cell and atoms, written as POSCAR:
```
KScFe2
1.0
5.2382 0.0000 0.0000
0.0000 5.2382 0.0000
0.0000 0.0000 3.0113
K Sc Fe
1 1 2
direct
0.0000 0.0000 0.0000 K
0.5000 0.5000 0.0000 Sc
0.0000 0.5000 0.5000 Fe
0.5000 0.0000 0.5000 Fe
```

Properties
V   20.7 Å³/atom
Space-group type   No. 123

Energy ordering: model x at the bottom, the next structure 457 meV/atom above.